DFT (PBE-GGA) results for an optimized crystal structure of NdHoGe.

```
data_NdHoGe
_cell_length_a 5.2391
_cell_length_b 5.2391
_cell_length_c 6.3794
_cell_angle_alpha 90.00
_cell_angle_beta 90.00
_cell_angle_gamma 120.00
_space_group_name_H-M_alt 'P 1'
_space_group_IT_number 1
_space_group_name_Hall 'P 1'
loop_
_atom_site_label
_atom_site_type_symbol
_atom_site_fract_x
_atom_site_fract_y
_atom_site_fract_z
Nd1 Nd 0.0000 0.0000 0.0000
Nd2 Nd 0.0000 0.0000 0.5000
Ho1 Ho 0.3333 0.6667 0.2500
Ho2 Ho 0.6667 0.3333 0.7500
Ge1 Ge 0.3333 0.6667 0.7500
Ge2 Ge 0.6667 0.3333 0.2500
```

Output
volume	151.6	Å³ per cell
total energy	-5.1954	eV/atom
calculated density	8.36	g/cm³
total moment	0.008	μB/atom
symmetry	P6_3/mmc

---

DFT (PBE-GGA) results for an optimized crystal structure of NdHoGe2.

```
data_NdHoGe2
_cell_length_a 3.2917
_cell_length_b 5.9241
_cell_length_c 11.5476
_cell_angle_alpha 90.00
_cell_angle_beta 90.00
_cell_angle_gamma 90.00
_space_group_name_H-M_alt 'P 1'
_space_group_IT_number 1
_space_group_name_Hall 'P 1'
loop_
_atom_site_label
_atom_site_type_symbol
_atom_site_fract_x
_atom_site_fract_y
_atom_site_fract_z
Nd1 Nd 0.0000 0.0000 0.0000
Nd2 Nd 0.0000 0.5000 0.5000
Ho1 Ho 0.0000 0.0000 0.2983
Ho2 Ho 0.0000 0.5000 0.7983
Ge1 Ge 0.0000 0.0000 0.5394
Ge2 Ge 0.0000 0.0000 0.7512
Ge3 Ge 0.0000 0.5000 0.0394
Ge4 Ge 0.0000 0.5000 0.2512
```

Output
volume	225.2	Å³ per cell
total energy	-4.6025	eV/atom
calculated density	6.70	g/cm³
total moment	0.005	μB/atom
symmetry	Amm2

---

DFT (PBE-GGA) results for an optimized crystal structure of NdHoGe2.

```
data_NdHoGe2
_cell_length_a 4.3459
_cell_length_b 19.9754
_cell_length_c 4.5055
_cell_angle_alpha 90.00
_cell_angle_beta 90.00
_cell_angle_gamma 90.00
_space_group_name_H-M_alt 'P 1'
_space_group_IT_number 1
_space_group_name_Hall 'P 1'
loop_
_atom_site_label
_atom_site_type_symbol
_atom_site_fract_x
_atom_site_fract_y
_atom_site_fract_z
Nd1 Nd 0.0000 0.0907 0.2500
Nd2 Nd 0.0000 0.9093 0.7500
Nd3 Nd 0.5000 0.4093 0.7500
Nd4 Nd 0.5000 0.5907 0.2500
Ho1 Ho 0.0000 0.2527 0.7500
Ho2 Ho 0.0000 0.7472 0.2500
Ho3 Ho 0.5000 0.2472 0.2500
Ho4 Ho 0.5000 0.7528 0.7500
Ge1 Ge 0.0000 0.3478 0.2500
Ge2 Ge 0.0000 0.4718 0.2500
Ge3 Ge 0.0000 0.5282 0.7500
Ge4 Ge 0.0000 0.6522 0.7500
Ge5 Ge 0.5000 0.0282 0.7500
Ge6 Ge 0.5000 0.1522 0.7500
Ge7 Ge 0.5000 0.8478 0.2500
Ge8 Ge 0.5000 0.9718 0.2500
```

Output
volume	391.1	Å³ per cell
total energy	-5.2515	eV/atom
calculated density	7.72	g/cm³
total moment	0.001	μB/atom
symmetry	Cmcm